1.
! CuNiPt, optimized geometry, DFT PBE; values from VASP
! Energy of formation   0.9 kJ per mole of atoms
! Electronic total energy   -5.30 eV per atom
! Energy relative to the lowest polymorph listed for this composition   90 meV/atom
! Symmetry   P3m1 (156)
! Calculated density   13.42 g/cm3
! Size of the total moment   0.801 μB/f.u.
&SYSTEM
  ibrav = 0, nat = 3, ntyp = 3
/
ATOMIC_SPECIES
Pt 195.08 Pt.upf
Ni 58.69 Ni.upf
Cu 63.55 Cu.upf
CELL_PARAMETERS angstrom
-2.3903 3.2474 0.9300
0.3938 -3.1177 2.6923
2.0782 1.2141 1.1019
ATOMIC_POSITIONS crystal
Pt 0.3333 0.6667 0.6751
Ni 0.6667 0.3333 0.2477
Cu 0.0000 0.0000 0.0773

=====

2.
! CuNiPt2, optimized geometry, DFT PBE; values from VASP
! Energy of formation   -11.1 kJ per mole of atoms
! Electronic total energy   -5.60 eV per atom
! Symmetry   I4/mmm (139)
! Calculated density   15.54 g/cm3
! Size of the total moment   1.380 μB/f.u.
&SYSTEM
  ibrav = 0, nat = 4, ntyp = 3
/
ATOMIC_SPECIES
Ni 58.69 Ni.upf
Pt 195.08 Pt.upf
Cu 63.55 Cu.upf
CELL_PARAMETERS angstrom
4.5564 0.0127 0.0000
1.2399 4.3845 0.0000
-2.8981 -2.1986 2.7437
ATOMIC_POSITIONS crystal
Ni 0.7500 0.2500 0.5000
Pt 0.5000 0.5000 0.0000
Pt 0.0000 0.0000 0.0000
Cu 0.2500 0.7500 0.5000

=====

3.
! Cu3Ni2Pt, optimized geometry, DFT PBE; values from VASP
! Energy of formation   -4.7 kJ per mole of atoms
! Electronic total energy   -5.03 eV per atom
! Symmetry   R-3m (166)
! Calculated density   11.32 g/cm3
! Size of the total moment   1.061 μB/f.u.
&SYSTEM
  ibrav = 0, nat = 12, ntyp = 3
/
ATOMIC_SPECIES
Cu 63.55 Cu.upf
Ni 58.69 Ni.upf
Pt 195.08 Pt.upf
CELL_PARAMETERS angstrom
-0.9594 -2.0934 4.6328
-3.5905 -3.6943 0.4759
2.9105 -6.3725 0.6120
ATOMIC_POSITIONS crystal
Cu 0.2260 0.7237 0.3266
Cu 0.7740 0.2763 0.6734
Cu 0.2763 0.2763 0.6734
Cu 0.2763 0.7740 0.6734
Cu 0.7237 0.7237 0.3266
Cu 0.7237 0.2260 0.3266
Ni 0.0000 0.0000 0.0000
Ni 0.0000 0.5000 0.0000
Ni 0.5000 0.0000 0.0000
Ni 0.5000 0.5000 0.0000
Pt 0.7764 0.7764 0.6708
Pt 0.2236 0.2236 0.3292

=====

4.
! CuNi2Pt6, optimized geometry, DFT PBE; values from VASP
! Energy of formation   -8.1 kJ per mole of atoms
! Electronic total energy   -5.85 eV per atom
! Energy relative to the lowest polymorph listed for this composition   0 meV/atom
! Symmetry   P4_2/mnm (136)
! Calculated density   17.40 g/cm3
! Size of the total moment   2.184 μB/f.u.
&SYSTEM
  ibrav = 0, nat = 18, ntyp = 3
/
ATOMIC_SPECIES
Pt 195.08 Pt.upf
Ni 58.69 Ni.upf
Cu 63.55 Cu.upf
CELL_PARAMETERS angstrom
3.9063 0.0000 -0.0003
0.0000 8.1259 0.0000
0.0006 0.0000 8.1261
ATOMIC_POSITIONS crystal
Pt 0.0000 0.6744 0.5034
Pt 0.0000 0.0034 0.1744
Pt 0.5000 0.8256 0.0034
Pt 0.5000 0.4966 0.6744
Pt 0.5000 0.1570 0.6570
Pt 0.0000 0.9966 0.8256
Pt 0.0000 0.3430 0.1570
Pt 0.5000 0.5034 0.3256
Pt 0.0000 0.6570 0.8430
Pt 0.0000 0.3256 0.4966
Pt 0.5000 0.8430 0.3430
Pt 0.5000 0.1744 0.9966
Ni 0.0000 0.6707 0.1706
Ni 0.5000 0.8293 0.6706
Ni 0.5000 0.1707 0.3294
Ni 0.0000 0.3293 0.8294
Cu 0.0000 0.0000 0.5000
Cu 0.5000 0.5000 0.0000

=====

5.
! CuNi6Pt, optimized geometry, DFT PBE; values from VASP
! Energy of formation   -1.8 kJ per mole of atoms
! Electronic total energy   -5.62 eV per atom
! Energy relative to the lowest polymorph listed for this composition   0 meV/atom
! Symmetry   Cmmm (65)
! Calculated density   10.86 g/cm3
! Size of the total moment   4.056 μB/f.u.
&SYSTEM
  ibrav = 0, nat = 32, ntyp = 3
/
ATOMIC_SPECIES
Ni 58.69 Ni.upf
Pt 195.08 Pt.upf
Cu 63.55 Cu.upf
CELL_PARAMETERS angstrom
6.2334 -0.0036 0.0000
-2.0912 5.8722 0.0000
0.0000 0.0000 10.2106
ATOMIC_POSITIONS crystal
Ni 0.7483 0.2517 0.9959
Ni 0.1277 0.3798 0.8717
Ni 0.6228 0.8704 0.3787
Ni 0.8723 0.6202 0.6283
Ni 0.0000 0.0000 0.2500
Ni 0.3798 0.1277 0.6283
Ni 0.6228 0.8704 0.1213
Ni 0.3798 0.1277 0.8717
Ni 0.1296 0.3772 0.3787
Ni 0.5000 0.5000 0.7500
Ni 0.6202 0.8723 0.6283
Ni 0.8704 0.6228 0.3787
Ni 0.2517 0.7483 0.5041
Ni 0.8704 0.6228 0.1213
Ni 0.5000 0.5000 0.2500
Ni 0.3772 0.1296 0.1213
Ni 0.1277 0.3798 0.6283
Ni 0.3772 0.1296 0.3787
Ni 0.0000 0.0000 0.7500
Ni 0.1296 0.3772 0.1213
Ni 0.2517 0.7483 0.9959
Ni 0.8723 0.6202 0.8717
Ni 0.7483 0.2517 0.5041
Ni 0.6202 0.8723 0.8717
Pt 0.7498 0.2502 0.2500
Pt 0.2502 0.7498 0.2500
Pt 0.0000 0.0000 0.5035
Pt 0.0000 0.0000 0.9965
Cu 0.5000 0.5000 0.5033
Cu 0.2496 0.7504 0.7500
Cu 0.5000 0.5000 0.9967
Cu 0.7504 0.2496 0.7500

=====

6.
! Cu6Ni2Pt, optimized geometry, DFT PBE; values from VASP
! Energy of formation   1.1 kJ per mole of atoms
! Electronic total energy   -4.67 eV per atom
! Energy relative to the lowest polymorph listed for this composition   0 meV/atom
! Symmetry   C2/c (15)
! Calculated density   10.43 g/cm3
! Size of the total moment   0.187 μB/f.u.
&SYSTEM
  ibrav = 0, nat = 18, ntyp = 3
/
ATOMIC_SPECIES
Cu 63.55 Cu.upf
Ni 58.69 Ni.upf
Pt 195.08 Pt.upf
CELL_PARAMETERS angstrom
-2.7378 4.0098 4.5862
2.5441 -0.4078 5.8445
2.1625 6.0100 0.0054
ATOMIC_POSITIONS crystal
Cu 0.7960 0.2637 0.9738
Cu 0.3647 0.3288 0.1136
Cu 0.2040 0.7363 0.0262
Cu 0.5252 0.4394 0.6798
Cu 0.7040 0.0262 0.7363
Cu 0.4748 0.5606 0.3202
Cu 0.1353 0.8864 0.6712
Cu 0.6353 0.6712 0.8864
Cu 0.9748 0.3202 0.5606
Cu 0.8647 0.1136 0.3288
Cu 0.2960 0.9738 0.2637
Cu 0.0252 0.6798 0.4394
Ni 0.5823 0.7938 0.5285
Ni 0.9177 0.4715 0.2062
Ni 0.4177 0.2062 0.4715
Ni 0.0823 0.5285 0.7938
Pt 0.2500 0.1132 0.8868
Pt 0.7500 0.8868 0.1132

=====

7.
! Cu2Ni7Pt2, optimized geometry, DFT PBE; values from VASP
! Energy of formation   11.1 kJ per mole of atoms
! Electronic total energy   -5.41 eV per atom
! Energy relative to the lowest polymorph listed for this composition   0 meV/atom
! Symmetry   Cm (8)
! Calculated density   10.86 g/cm3
! Size of the total moment   5.113 μB/f.u.
&SYSTEM
  ibrav = 0, nat = 11, ntyp = 3
/
ATOMIC_SPECIES
Pt 195.08 Pt.upf
Cu 63.55 Cu.upf
Ni 58.69 Ni.upf
CELL_PARAMETERS angstrom
-5.4538 1.4467 -3.7786
-4.5189 -3.5828 -3.7127
-6.7414 -1.1940 0.4098
ATOMIC_POSITIONS crystal
Pt 0.0213 0.7466 0.7466
Pt 0.0140 0.2481 0.2481
Cu 0.5149 0.2427 0.7520
Cu 0.5149 0.7520 0.2427
Ni 0.2499 0.4605 0.4605
Ni 0.7970 0.0319 0.0319
Ni 0.7455 0.9611 0.4643
Ni 0.7455 0.4643 0.9611
Ni 0.3000 0.5351 0.0269
Ni 0.7971 0.5308 0.5308
Ni 0.3000 0.0269 0.5350

=====

8.
! CuNi2Pt, optimized geometry, DFT PBE; values from VASP
! Energy of formation   0.4 kJ per mole of atoms
! Electronic total energy   -5.42 eV per atom
! Symmetry   R-3m (166)
! Calculated density   12.35 g/cm3
! Size of the total moment   1.346 μB/f.u.
&SYSTEM
  ibrav = 0, nat = 4, ntyp = 3
/
ATOMIC_SPECIES
Cu 63.55 Cu.upf
Pt 195.08 Pt.upf
Ni 58.69 Ni.upf
CELL_PARAMETERS angstrom
-3.9600 5.9569 -4.4893
-5.5566 5.9003 -2.3729
-3.3608 7.3864 -2.3378
ATOMIC_POSITIONS crystal
Cu 0.7500 0.7500 0.7500
Pt 0.2500 0.2500 0.2500
Ni 0.0032 0.0032 0.0032
Ni 0.4968 0.4968 0.4968